Density functional theory data (PBE) for Si2AsIr after structural relaxation.

Values from the calculation:
Space-group type = C2/m, No. 12
Uncorrected formation energy = 5.9 kJ/mol of atoms

Unit cell a=4.1072 b=4.1072 c=5.9010 alpha=71.96 beta=71.96 gamma=44.32
Last column: nearest neighbours and their distance in Å.
Fractional positions:
As  0.7500  0.7500  0.7500  4 Si 2.60
Ir  0.2500  0.2500  0.2500  6 Si 2.47-2.49
Si  0.0085  0.0085  0.0517  3 Ir 2.47-2.49, 2 As 2.60
Si  0.4915  0.4915  0.4483  3 Ir 2.47-2.49, 2 As 2.60


Density functional theory data (PBE) for SrCaMg2Sn after structural relaxation.

Values from the calculation:
Space-group type = P4/mmm, No. 123

Unit cell a=5.9335 b=5.9900 c=5.9335 alpha=90.00 beta=90.00 gamma=90.00
Last column: nearest neighbours and their distance in Å.
Fractional positions:
Mg  0.0000  0.0000  0.5000  2 Sr 2.97
Mg  0.5000  0.0000  0.0000  2 Sr 2.97
Sr  0.0000  0.0000  0.0000  4 Mg 2.97, 2 Sn 2.99
Ca  0.5000  0.5000  0.5000  4 Sn 4.20, 8 Mg 4.22
Sn  0.0000  0.5000  0.0000  2 Sr 2.99


Density functional theory data (PBE) for Ba2NiHRh after structural relaxation.

Values from the calculation:
Space-group type = P4/mmm, No. 123

Unit cell a=5.6566 b=5.6566 c=3.5926 alpha=90.00 beta=90.00 gamma=90.00
Last column: nearest neighbours and their distance in Å.
Fractional positions:
Ni  0.5000  0.5000  0.5000  8 Ba 3.35, 2 Ni 3.59
Rh  0.0000  0.0000  0.5000  2 H 1.80
Ba  0.0000  0.5000  0.0000  2 H 2.83
Ba  0.5000  0.0000  0.0000  2 H 2.83
H  0.0000  0.0000  0.0000  2 Rh 1.80


Density functional theory data (PBE) for Al3Pd8Au2 after structural relaxation.

Values from the calculation:
Space-group type = P2/m, No. 10

Unit cell a=4.1647 b=8.2551 c=7.7643 alpha=122.09 beta=90.00 gamma=90.00
Last column: nearest neighbours and their distance in Å.
Fractional positions:
Al  0.5000  0.0000  0.0000  8 Pd 2.56
Al  0.0000  0.2587  0.9995  8 Pd 2.48-2.60
Al  0.0000  0.7413  0.0005  8 Pd 2.48-2.60
Pd  0.0000  0.6122  0.2247  2 Al 2.48, 2 Au 2.76
Pd  0.0000  0.3878  0.7753  2 Al 2.48, 2 Au 2.76
Pd  0.0000  0.1127  0.2251  4 Al 2.56-2.60, 2 Au 2.75
Pd  0.0000  0.8873  0.7749  4 Al 2.56-2.60, 2 Au 2.75
Pd  0.5000  0.6341  0.7792  3 Al 2.54-2.56, 2 Au 2.73-2.79
Pd  0.5000  0.1442  0.7780  3 Al 2.54-2.56, 2 Au 2.73-2.79
Pd  0.5000  0.8558  0.2220  3 Al 2.54-2.56, 2 Au 2.73-2.79
Pd  0.5000  0.3659  0.2208  3 Al 2.54-2.56, 2 Au 2.73-2.79
Au  0.5000  0.2501  0.4993  8 Pd 2.73-2.79
Au  0.5000  0.7499  0.5007  8 Pd 2.73-2.79


Density functional theory data (PBE) for AgSnH after structural relaxation.

Values from the calculation:
Space-group type = Pm, No. 6

Unit cell a=3.0543 b=3.4189 c=5.0983 alpha=90.00 beta=106.37 gamma=90.00
Last column: nearest neighbours and their distance in Å.
Fractional positions:
Ag  0.6733  0.0000  0.2284  2 H 1.82-1.84
Sn  0.3557  0.5000  0.6591  4 H 2.82-2.99, 2 Sn 3.05, 4 Ag 3.08-3.14
H  0.0789  0.0000  0.0226  2 Ag 1.82-1.84


Density functional theory data (PBE) for AcPmSm2Er5 after structural relaxation.

Values from the calculation:
Space-group type = I4/mcm, No. 140

Unit cell a=8.8196 b=8.8196 c=9.9509 alpha=116.31 beta=116.31 gamma=90.00
Last column: nearest neighbours and their distance in Å.
Fractional positions:
Ac  0.2500  0.2500  0.5000  10 Er 3.67-3.88
Ac  0.7500  0.7500  0.5000  10 Er 3.67-3.88
Pm  0.2500  0.7500  0.5000  4 Er 3.16
Pm  0.7500  0.2500  0.5000  4 Er 3.16
Sm  0.1163  0.3837  0.0000  1 Sm 2.90, 2 Er 3.01
Sm  0.6163  0.1163  0.0000  1 Sm 2.90, 2 Er 3.01
Sm  0.3837  0.8837  0.0000  1 Sm 2.90, 2 Er 3.01
Sm  0.8837  0.6163  0.0000  1 Sm 2.90, 2 Er 3.01
Er  0.9254  0.4254  0.2619  1 Sm 3.01, 1 Pm 3.16
Er  0.6635  0.1635  0.7381  1 Sm 3.01, 1 Pm 3.16
Er  0.0746  0.5746  0.7381  1 Sm 3.01, 1 Pm 3.16
Er  0.1635  0.0746  0.7381  1 Sm 3.01, 1 Pm 3.16
Er  0.5746  0.6635  0.7381  1 Sm 3.01, 1 Pm 3.16
Er  0.8365  0.9254  0.2619  1 Sm 3.01, 1 Pm 3.16
Er  0.4254  0.3365  0.2619  1 Sm 3.01, 1 Pm 3.16
Er  0.3365  0.8365  0.2619  1 Sm 3.01, 1 Pm 3.16
Er  0.5000  0.5000  0.0000  4 Sm 3.54, 8 Er 3.76, 2 Ac 3.88
Er  0.0000  0.0000  0.0000  4 Sm 3.54, 8 Er 3.76, 2 Ac 3.88


Spin magnetization readings, ordered: 0.00 0.00 0.00 0.00 0.00 0.00 μB per atom
Electronic total energy readings, ordered: -0.2215 -0.0583 -0.1514 -0.1831 -0.1150 -0.1585 hartree per atom